# Sm2PaIn3Se6

A relaxed structure of Sm2PaIn3Se6 (PBE, Alexandria).

Properties
- total magnetic moment (μB per atom) = 0.172
- ρ (g/cm³) = 6.3
- calculated volume (Å³/f.u.) = 355.6
- total DFT energy (no corrections) (eV/atom) = -5.14
- crystal system = monoclinic

abc: 7.242 7.242 8.189
angles: 98.47 98.47 119.96
Fractional coordinates of all 12 atoms:
1 Sm 0.166 0.834 0.000
2 Sm 0.834 0.166 0.000
3 Pa 0.500 0.500 0.000
4 In 0.000 0.000 0.500
5 In 0.330 0.670 0.500
6 In 0.670 0.330 0.500
7 Se 0.105 0.429 0.787
8 Se 0.247 0.247 0.215
9 Se 0.429 0.105 0.787
10 Se 0.571 0.895 0.213
11 Se 0.753 0.753 0.785
12 Se 0.895 0.571 0.213